The following is a DFT calculation (PBE-GGA) of a relaxed structure of Rb3TeBr6.

Summary:
size of the total moment = 2.1 μB per cell
D(E_F) = 0.047 states/eV/atom
E = -2.745 eV per atom
V = 864.7 Å³ per cell

```
data_Rb3TeBr6
_cell_length_a 8.223
_cell_length_b 8.313
_cell_length_c 14.248
_cell_angle_alpha 90.00
_cell_angle_beta 117.40
_cell_angle_gamma 90.00
_space_group_name_H-M_alt 'P 1 21/c 1'
_space_group_IT_number 14
loop_
_space_group_symop_operation_xyz
'x,y,z'
'-x,-y,-z'
'-x,y+1/2,-z+1/2'
'x,-y+1/2,z+1/2'
loop_
_atom_site_label
_atom_site_fract_x
_atom_site_fract_y
_atom_site_fract_z
Rb1 0.000 0.000 0.000
Rb2 0.280 0.080 0.768
Te1 0.500 0.000 0.500
Br1 0.141 0.032 0.261
Br2 0.311 0.677 0.080
Br3 0.397 0.220 0.061
```